(1)
PmTmCuTc, relaxed, DFT PBE; raw total energy = -5.9710 eV per atom; ΔH_f (0 K) = -0.050 eV/atom; symmetry = No. 216; N(E_F) = 3.7 states/eV per cell
1.0
-3.397 2.327 2.655
-3.442 -2.564 2.363
0.088 -0.294 4.890
Tc Pm Cu Tm
1 1 1 1
Direct
0.000 0.000 0.000
0.750 0.750 0.750
0.500 0.500 0.500
0.250 0.250 0.250

(2)
PmZrCuTc, relaxed, DFT PBE; raw total energy = -7.0011 eV per atom; ΔH_f (0 K) = -0.061 eV/atom; symmetry = No. 216; N(E_F) = 2.1 states/eV per cell
1.0
4.816 0.000 0.000
2.408 4.170 0.000
2.408 1.390 3.932
Zr Pm Tc Cu
1 1 1 1
Direct
0.250 0.250 0.250
0.750 0.750 0.750
0.000 0.000 0.000
0.500 0.500 0.500

(3)
Pm2CuTe, relaxed, DFT PBE; raw total energy = -4.8217 eV per atom; symmetry = No. 123; N(E_F) = 4.9 states/eV per cell
1.0
-2.183 -3.111 -0.626
2.765 -1.492 -2.227
2.828 -3.110 5.594
Pm Te Cu
2 1 1
Direct
0.000 0.000 0.762
0.000 0.000 0.238
0.500 0.500 0.500
0.500 0.500 0.000

(4)
Pm2CuTe, relaxed, DFT PBE; raw total energy = -4.8109 eV per atom; symmetry = No. 160; N(E_F) = 3.6 states/eV per cell
1.0
4.097 0.000 0.000
2.049 3.548 0.000
2.049 1.183 7.908
Pm Cu Te
2 1 1
Direct
0.246 0.246 0.263
0.088 0.088 0.736
0.499 0.499 0.502
0.667 0.667 0.998

(5)
PmCuTe2, relaxed, DFT PBE; raw total energy = -4.6981 eV per atom; symmetry = No. 14
1.0
7.110 0.132 0.000
-0.791 7.599 0.000
0.000 0.000 8.006
Te Cu Pm
8 4 4
Direct
0.605 0.278 0.612
0.395 0.222 0.112
0.605 0.778 0.888
0.079 0.996 0.718
0.921 0.004 0.282
0.079 0.496 0.782
0.395 0.722 0.388
0.921 0.504 0.218
0.436 0.452 0.848
0.436 0.952 0.652
0.564 0.548 0.152
0.564 0.048 0.348
0.803 0.698 0.541
0.197 0.802 0.041
0.197 0.302 0.459
0.803 0.198 0.959

(6)
PmCuTe2, relaxed, DFT PBE; raw total energy = -4.6964 eV per atom; symmetry = No. 10; N(E_F) = 0.2 states/eV per cell
1.0
-1.608 -3.905 1.264
4.846 -3.236 -3.832
4.738 -0.012 5.989
Pm Te Cu
2 4 2
Direct
0.500 0.000 0.500
0.000 0.000 0.000
0.500 0.730 0.829
0.000 0.730 0.339
0.000 0.270 0.661
0.500 0.270 0.171
0.500 0.661 0.166
0.500 0.339 0.834

(7)
Pm4CuTe3, relaxed, DFT PBE; raw total energy = -5.1535 eV per atom; symmetry = No. 65; N(E_F) = 6.2 states/eV per cell
1.0
-2.286 2.792 2.335
2.501 -3.355 6.459
4.921 5.608 -1.889
Pm Te Cu
4 3 1
Direct
0.000 0.773 0.773
0.500 0.242 0.758
0.000 0.227 0.227
0.500 0.758 0.242
0.500 0.500 0.500
0.000 0.000 0.500
0.000 0.500 0.000
0.500 0.000 0.000

(8)
PmCuTe3, relaxed, DFT PBE; raw total energy = -4.2774 eV per atom; symmetry = No. 14; N(E_F) = 9.7 states/eV per cell
1.0
6.382 0.000 0.000
0.000 10.726 -0.324
0.000 -2.022 9.044
Te Cu Pm
12 4 4
Direct
0.084 0.187 0.031
0.584 0.813 0.469
0.273 0.576 0.132
0.227 0.576 0.632
0.416 0.187 0.531
0.916 0.813 0.969
0.773 0.424 0.368
0.935 0.084 0.675
0.065 0.916 0.325
0.565 0.084 0.175
0.727 0.424 0.868
0.435 0.916 0.825
0.774 0.039 0.919
0.274 0.961 0.581
0.726 0.039 0.419
0.226 0.961 0.081
0.226 0.370 0.821
0.274 0.370 0.321
0.774 0.630 0.179
0.726 0.630 0.679

(9)
Pm2CuTe, relaxed, DFT PBE; raw total energy = -4.9413 eV per atom; symmetry = No. 63; N(E_F) = 5.8 states/eV per cell
1.0
4.556 0.000 0.000
0.000 4.102 -0.729
0.000 -0.012 11.844
Pm Cu Te
4 2 2
Direct
0.250 0.334 0.667
0.750 0.666 0.333
0.750 0.941 0.883
0.250 0.059 0.117
0.750 0.532 0.065
0.250 0.468 0.935
0.250 0.195 0.389
0.750 0.805 0.611

(10)
Pm5CuTe4, relaxed, DFT PBE; raw total energy = -5.2034 eV per atom; symmetry = No. 87; N(E_F) = 5.8 states/eV per cell
1.0
5.657 0.000 2.728
2.828 6.958 1.364
-0.194 0.000 7.632
Pm Te Cu
5 4 1
Direct
0.099 0.623 0.182
0.903 0.377 0.818
0.281 0.818 0.623
0.501 0.000 0.000
0.721 0.182 0.377
0.195 0.215 0.396
0.807 0.785 0.604
0.592 0.604 0.215
0.410 0.396 0.785
0.001 0.000 0.000

(11)
Pm2CuTe, relaxed, DFT PBE; raw total energy = -4.8927 eV per atom; symmetry = No. 166; N(E_F) = 5.1 states/eV per cell
1.0
4.226 0.000 0.000
2.113 3.660 0.000
2.113 1.220 7.422
Cu Pm Te
1 2 1
Direct
0.500 0.500 0.500
0.757 0.757 0.728
0.243 0.243 0.272
0.000 0.000 0.000

(12)
PmCu2Te2, relaxed, DFT PBE; raw total energy = -4.3224 eV per atom; symmetry = No. 15; N(E_F) = 4.0 states/eV per cell
1.0
7.290 0.109 -0.208
-1.408 7.154 -0.208
-2.783 -3.436 4.739
Pm Te Cu
2 4 4
Direct
0.890 0.110 0.750
0.110 0.890 0.250
0.179 0.821 0.750
0.608 0.392 0.750
0.392 0.608 0.250
0.821 0.179 0.250
0.757 0.568 0.542
0.432 0.243 0.958
0.243 0.432 0.458
0.568 0.757 0.042

> The lowest raw total energy belongs to which entry?

PmZrCuTc

> Which of these has the highest raw total energy?

PmCuTe3

> Which of these has the highest raw total energy?

PmCuTe3